Entry 1:
A plane-wave DFT calculation with PBE was carried out for AcCeThHg after structural relaxation.

Calculated values
Final energy ... -17.19 eV for the cell shown
Symmetry ... F-43m (216)

Cell: 5.611 5.611 5.611 Å, 60.00 60.00 60.00°
Last column: magnetic moment on the atom in μB.
Element x y z (fractional)
Ac  0.750  0.750  0.750  0.04
Ce  0.500  0.500  0.500  0.66
Hg  0.250  0.250  0.250  0.00
Th  0.000  0.000  0.000  0.01



Entry 2:
A plane-wave DFT calculation with PBE was carried out for MoS after structural relaxation.

Calculated values
Final energy ... -31.34 eV for the cell shown
Symmetry ... P2_1/m (11)
Raw formation energy ... -355 meV/atom

Cell: 2.993 2.995 8.154 Å, 90.00 97.59 90.00°
Element x y z (fractional)
Mo  0.800  0.250  0.131
Mo  0.200  0.750  0.869
S  0.646  0.250  0.717
S  0.354  0.750  0.283



> Among the records above, which one has the lowest final energy?

MoS



> Which of these has the highest final energy?

AcCeThHg



> Among the records above, which one has the lowest final energy?

MoS



Please write out number 2 again, unchanged.
A plane-wave DFT calculation with PBE was carried out for MoS after structural relaxation.

Calculated values
Final energy ... -31.34 eV for the cell shown
Symmetry ... P2_1/m (11)
Raw formation energy ... -355 meV/atom

Cell: 2.993 2.995 8.154 Å, 90.00 97.59 90.00°
Element x y z (fractional)
Mo  0.800  0.250  0.131
Mo  0.200  0.750  0.869
S  0.646  0.250  0.717
S  0.354  0.750  0.283